Model w:
Entry from the Alexandria database: a geometry-optimized BaNa2Os2 structure (GGA-PBE).

## Properties
Space group: P4/mbm (127)

Cell lengths 9.0243, 9.0243, 2.8328 Å; angles 90.00, 90.00, 90.00 degrees
Fractional positions:
1 Na 0.1890 0.6890 0.5000
2 Na 0.6890 0.8110 0.5000
3 Na 0.8110 0.3110 0.5000
4 Na 0.3110 0.1890 0.5000
5 Os 0.4087 0.9087 0.0000
6 Os 0.9087 0.5913 0.0000
7 Os 0.5913 0.0913 0.0000
8 Os 0.0913 0.4087 0.0000
9 Ba 0.0000 0.0000 0.0000
10 Ba 0.5000 0.5000 0.0000



Model x:
Entry from the Alexandria database: a geometry-optimized BaNa2Os2 structure (GGA-PBE).

## Properties
Space group: I4/mmm (139)

Cell lengths 4.6222, 4.6222, 7.3440 Å; angles 71.66, 71.66, 90.00 degrees
Each line ends with the local moment (μB).
Fractional positions:
1 Na 0.7500 0.2500 0.5000  0.01
2 Na 0.2500 0.7500 0.5000  0.01
3 Os 0.4152 0.4152 0.1695  0.51
4 Os 0.5848 0.5848 0.8305  0.51
5 Ba 0.0000 0.0000 0.0000  -0.01



Verdict on stability: model w comes out on top.



Model w:
Entry from the Alexandria database: a geometry-optimized BaNaP3 structure (GGA-PBE).

## Properties
Space group: Pm-3m (221)

Cell lengths 5.0393, 5.0393, 5.0393 Å; angles 90.00, 90.00, 90.00 degrees
Fractional positions:
1 P 0.0000 0.5000 0.0000
2 P 0.0000 0.0000 0.5000
3 P 0.5000 0.0000 0.0000
4 Ba 0.5000 0.5000 0.5000
5 Na 0.0000 0.0000 0.0000



Model x:
Entry from the Alexandria database: a geometry-optimized BaNaP3 structure (GGA-PBE).

## Properties
Space group: Pm-3m (221)

Cell lengths 5.7701, 5.7701, 5.7701 Å; angles 90.00, 90.00, 90.00 degrees
Fractional positions:
1 P 0.0000 0.5000 0.0000
2 P 0.0000 0.0000 0.5000
3 P 0.5000 0.0000 0.0000
4 Ba 0.0000 0.0000 0.0000
5 Na 0.5000 0.5000 0.5000



Verdict on stability: model w comes out on top.



Model w:
Entry from the Alexandria database: a geometry-optimized Ba4Na2P structure (GGA-PBE).

## Properties
Space group: I4/mmm (139)

Cell lengths 6.3031, 6.3031, 10.6409 Å; angles 107.23, 107.23, 90.00 degrees
Fractional positions:
1 P 0.0000 0.0000 0.0000
2 Ba 0.8351 0.8351 0.6703
3 Ba 0.1649 0.1649 0.3297
4 Ba 0.0000 0.5000 0.0000
5 Ba 0.5000 0.0000 0.0000
6 Na 0.6345 0.6345 0.2689
7 Na 0.3655 0.3655 0.7311



Model x:
Entry from the Alexandria database: a geometry-optimized Ba4Na2P structure (GGA-PBE).

## Properties
Space group: C2/m (12)

Cell lengths 4.6855, 7.9739, 10.1180 Å; angles 103.87, 103.39, 90.00 degrees
Fractional positions:
1 Ba 0.1317 0.8420 0.2634
2 Ba 0.8683 0.1580 0.7366
3 Ba 0.4356 0.7301 0.8713
4 Ba 0.5644 0.2699 0.1287
5 Na 0.2400 0.3415 0.4799
6 Na 0.7600 0.6585 0.5201
7 P 0.0000 0.0000 0.0000



Verdict on stability: model x comes out on top.